(1)
This record from Alexandria describes a geometry-optimized ZnCu2GeS4 structure. The functional is GGA-PBEsol.

## Properties
symmetry: I-42m (121)
electronic total energy: -4.566 eV per atom
E_form (uncorrected): -3.8 eV/f.u.

abc: 6.441 6.441 6.441
angles: 131.90 131.90 70.39
Positions (direct):
Zn 0.000 0.000 0.000
Cu 0.250 0.750 0.500
Cu 0.750 0.250 0.500
Ge 0.500 0.500 0.000
S 0.128 0.128 0.513
S 0.385 0.872 0.000
S 0.615 0.615 0.487
S 0.872 0.385 0.000

***

(2)
This record from Alexandria describes a geometry-optimized SrFeCl structure. The functional is GGA-PBEsol.

## Properties
DOS(E_F): 3.248 states/eV per cell
symmetry: P-6m2 (187)
electronic total energy: -4.347 eV per atom
E_form (uncorrected): -0.2 eV/f.u.

abc: 3.900 3.900 4.438
angles: 90.00 90.00 120.00
Positions (direct):
Sr 0.000 0.000 0.000
Fe 0.667 0.333 0.500
Cl 0.333 0.667 0.500

***

(3)
This record from Alexandria describes a geometry-optimized ScPWCl2 structure. The functional is GGA-PBEsol.

## Properties
DOS(E_F): 3.738 states/eV per cell
symmetry: P4/mmm (123)
electronic total energy: -5.664 eV per atom
E_form (uncorrected): 1.9 eV/f.u.

abc: 4.612 4.612 5.425
angles: 90.00 90.00 90.00
Positions (direct):
Sc 0.000 0.000 0.000
P 0.000 0.000 0.500
W 0.500 0.500 0.500
Cl 0.000 0.500 0.000
Cl 0.500 0.000 0.000

***

(4)
This record from Alexandria describes a geometry-optimized Zr2ZnCd structure. The functional is GGA-PBEsol.

## Properties
energy relative to the elements: -0.167 eV/atom
DOS(E_F): 0.831 states/eV per cell
symmetry: P4/mmm (123)
electronic total energy: -5.406 eV per atom

abc: 4.776 4.776 3.397
angles: 90.00 90.00 90.00
Positions (direct):
Zr 0.000 0.500 0.000
Zr 0.500 0.000 0.000
Zn 0.000 0.000 0.500
Cd 0.500 0.500 0.500

***

(5)
This record from Alexandria describes a geometry-optimized LiAl2Tc structure. The functional is GGA-PBEsol.

## Properties
energy relative to the elements: 0.084 eV/atom
DOS(E_F): 2.523 states/eV per cell
symmetry: P4mm (99)
electronic total energy: -5.271 eV per atom

abc: 2.665 2.665 8.428
angles: 90.00 90.00 90.00
Positions (direct):
Li 0.000 0.000 0.000
Al 0.000 0.000 0.483
Al 0.500 0.500 0.737
Tc 0.500 0.500 0.255

***

(6)
This record from Alexandria describes a geometry-optimized PtC5 structure. The functional is GGA-PBEsol.

## Properties
energy relative to the elements: 0.669 eV/atom
DOS(E_F): 0.704 states/eV per cell
symmetry: Amm2 (38)
electronic total energy: -8.528 eV per atom

abc: 2.577 6.958 6.958
angles: 21.19 90.00 90.00
Positions (direct):
Pt 0.000 0.000 0.000
C 0.000 0.259 0.259
C 0.000 0.693 0.693
C 0.500 0.325 0.325
C 0.500 0.631 0.631
C 0.500 0.886 0.886

***

(7)
This record from Alexandria describes a geometry-optimized YSbRh2 structure. The functional is GGA-PBEsol.

## Properties
DOS(E_F): 1.739 states/eV per cell
symmetry: R3m (160)
electronic total energy: -7.462 eV per atom
E_form (uncorrected): -2.2 eV/f.u.

abc: 5.592 5.592 5.592
angles: 45.59 45.59 45.59
Positions (direct):
Y 0.000 0.000 0.000
Sb 0.206 0.206 0.206
Rh 0.459 0.459 0.459
Rh 0.788 0.788 0.788

***

(8)
This record from Alexandria describes a geometry-optimized TcPPb structure. The functional is GGA-PBEsol.

## Properties
energy relative to the elements: 0.004 eV/atom
DOS(E_F): 1.231 states/eV per cell
symmetry: P3m1 (156)
electronic total energy: -7.015 eV per atom

abc: 3.209 3.209 6.158
angles: 90.00 90.00 120.00
Positions (direct):
Tc 0.000 0.000 0.000
P 0.333 0.667 0.772
Pb 0.667 0.333 0.368